No. 1
# LiHoThW

A geometry-optimized LiHoThW structure (GGA-PBE, Alexandria via LeMat-Bulk).

Summary:
ΔH_f (0 K)   0.2238 eV per atom

Cell: 5.025 5.025 5.025 Å, 60.00 60.00 60.00°
Fractional coordinates of all 4 atoms:
Li  0.750  0.750  0.750
W  0.250  0.250  0.250
Th  0.000  0.000  0.000
Ho  0.500  0.500  0.500

=====

No. 2
# LiHoThZn

A geometry-optimized LiHoThZn structure (GGA-PBE, Alexandria via LeMat-Bulk).

Summary:
ΔH_f (0 K)   -0.0212 eV per atom

Cell: 5.145 5.145 5.145 Å, 60.00 60.00 60.00°
Fractional coordinates of all 4 atoms:
Zn  0.000  0.000  0.000
Ho  0.750  0.750  0.750
Th  0.250  0.250  0.250
Li  0.500  0.500  0.500

=====

No. 3
# LiHoThZr

A geometry-optimized LiHoThZr structure (GGA-PBE, Alexandria via LeMat-Bulk).

Summary:
ΔH_f (0 K)   0.2102 eV per atom

Cell: 5.297 5.297 5.297 Å, 60.00 60.00 60.00°
Each line ends with the local moment (μB).
Fractional coordinates of all 4 atoms:
Zr  0.250  0.250  0.250  0.62
Ho  0.500  0.500  0.500  0.32
Th  0.000  0.000  0.000  0.25
Li  0.750  0.750  0.750  -0.01